A relaxed CaBeB6Ir2 crystal, computed with PBE.

```
data_CaBeB6Ir2
_cell_length_a 4.2297
_cell_length_b 4.2297
_cell_length_c 25.0786
_cell_angle_alpha 90.00
_cell_angle_beta 90.00
_cell_angle_gamma 120.00
_symmetry_space_group_name_H-M 'R -3 m'
_symmetry_Int_Tables_number 166
_symmetry_space_group_name_Hall '-R 3 2"'
loop_
_atom_site_label
_atom_site_type_symbol
_atom_site_fract_x
_atom_site_fract_y
_atom_site_fract_z
Ca1 Ca 0.0000 0.0000 0.0000
Be1 Be 0.0000 0.0000 0.5000
B1 B 0.0708 0.5354 0.2406
Ir1 Ir 0.0000 0.0000 0.2411
```

Computed properties:
Uncorrected energy ... -6.275 eV per atom
ΔH_f (0 K) ... 0.08 eV per atom